Compound: La6CeTl
Source: Alexandria
Functional: GGA-PBE
Structure: relaxed

```
8
Lattice="-2.0202 0.5634 -4.6450 -4.6666 -0.6112 1.9554 -0.6894 10.1692 1.5332" Properties=species:S:1:pos:R:3 pbc="T T T"
La -1.1830 2.8323 -1.9379
Tl 0.0000 0.0000 0.0000
La -1.5265 7.9003 -1.1738
La -3.3434 -0.0239 -1.3448
La -2.5062 2.2450 1.3623
La -2.8497 7.3130 2.1264
Ce -0.3447 5.0846 0.7666
La -3.6881 5.0607 -0.5782
```

crystal system	tetragonal
space group	P4/mmm
ΔE_f	-0.67	eV/f.u.
DFT total energy	-4.816	eV/atom